Entry 1:
# HoFe4Pb, relaxed, DFT PBE
data_HoFe4Pb
_symmetry_space_group_name_H-M 'P 1'
_symmetry_Int_Tables_number 1
_symmetry_space_group_name_Hall 'P 1'
_cell_length_a 5.0900
_cell_length_b 5.0900
_cell_length_c 5.0900
_cell_angle_alpha 60.00
_cell_angle_beta 60.00
_cell_angle_gamma 60.00
loop_
_atom_site_label
_atom_site_fract_x
_atom_site_fract_y
_atom_site_fract_z
Ho1 0.0000 0.0000 0.0000
Fe1 0.1234 0.6255 0.6255
Fe2 0.6255 0.1234 0.6255
Fe3 0.6255 0.6255 0.1234
Fe4 0.6255 0.6255 0.6255
Pb1 0.2500 0.2500 0.2500
# - size of the total moment (μB per formula unit) = 7.69
# - VASP energy (eV/f.u.) = -41.8
# - density of states at the Fermi level (states/eV/cell) = 7.07
# - calculated volume (Å³ per atom) = 15.5
# - ΔE_f (kJ/mol of formula units) = 29
# - crystal system = cubic

=====

Entry 2:
# ErTmTl2, relaxed, DFT PBE
data_ErTmTl2
_symmetry_space_group_name_H-M 'P 1'
_symmetry_Int_Tables_number 1
_symmetry_space_group_name_Hall 'P 1'
_cell_length_a 5.3224
_cell_length_b 5.3224
_cell_length_c 5.3224
_cell_angle_alpha 60.00
_cell_angle_beta 60.00
_cell_angle_gamma 60.00
loop_
_atom_site_label
_atom_site_fract_x
_atom_site_fract_y
_atom_site_fract_z
Er1 0.0000 0.0000 0.0000
Tm1 0.5000 0.5000 0.5000
Tl1 0.2500 0.2500 0.2500
Tl2 0.7500 0.7500 0.7500
# - size of the total moment (μB per formula unit) = 0.00
# - VASP energy (eV/f.u.) = -15.0
# - density of states at the Fermi level (states/eV/cell) = 2.88
# - calculated volume (Å³ per atom) = 26.7
# - ΔE_f (kJ/mol of formula units) = -116
# - crystal system = cubic

=====

Entry 3:
# TcRuRh2, relaxed, DFT PBE
data_TcRuRh2
_symmetry_space_group_name_H-M 'P 1'
_symmetry_Int_Tables_number 1
_symmetry_space_group_name_Hall 'P 1'
_cell_length_a 6.7181
_cell_length_b 6.7181
_cell_length_c 6.7181
_cell_angle_alpha 131.36
_cell_angle_beta 131.36
_cell_angle_gamma 71.24
loop_
_atom_site_label
_atom_site_fract_x
_atom_site_fract_y
_atom_site_fract_z
Tc1 0.0000 0.0000 0.0000
Tc2 0.7500 0.2500 0.5000
Ru1 0.2500 0.7500 0.5000
Ru2 0.5000 0.5000 0.0000
Rh1 0.1251 0.6250 0.0001
Rh2 0.3750 0.3751 0.5001
Rh3 0.6249 0.1250 0.9999
Rh4 0.8750 0.8749 0.4999
# - size of the total moment (μB per formula unit) = 0.00
# - VASP energy (eV/f.u.) = -29.9
# - density of states at the Fermi level (states/eV/cell) = 4.52
# - calculated volume (Å³ per atom) = 20.9
# - ΔE_f (kJ/mol of formula units) = 428
# - crystal system = tetragonal

=====

Entry 4:
# In2AgSn, relaxed, DFT PBE
data_In2AgSn
_symmetry_space_group_name_H-M 'P 1'
_symmetry_Int_Tables_number 1
_symmetry_space_group_name_Hall 'P 1'
_cell_length_a 11.2587
_cell_length_b 11.2587
_cell_length_c 11.2587
_cell_angle_alpha 16.83
_cell_angle_beta 16.83
_cell_angle_gamma 16.83
loop_
_atom_site_label
_atom_site_fract_x
_atom_site_fract_y
_atom_site_fract_z
In1 0.0842 0.0842 0.0842
In2 0.9158 0.9158 0.9158
Ag1 0.0000 0.0000 0.0000
Sn1 0.5000 0.5000 0.5000
# - size of the total moment (μB per formula unit) = 0.00
# - VASP energy (eV/f.u.) = -11.8
# - density of states at the Fermi level (states/eV/cell) = 1.78
# - calculated volume (Å³ per atom) = 26.1
# - ΔE_f (kJ/mol of formula units) = 55
# - crystal system = trigonal

=====

Entry 5:
# LaRePb2, relaxed, DFT PBE
data_LaRePb2
_symmetry_space_group_name_H-M 'P 1'
_symmetry_Int_Tables_number 1
_symmetry_space_group_name_Hall 'P 1'
_cell_length_a 11.5233
_cell_length_b 11.5233
_cell_length_c 11.5233
_cell_angle_alpha 157.72
_cell_angle_beta 157.72
_cell_angle_gamma 31.71
loop_
_atom_site_label
_atom_site_fract_x
_atom_site_fract_y
_atom_site_fract_z
La1 0.0000 0.0000 0.0000
La2 0.7500 0.2500 0.5000
Re1 0.2500 0.7500 0.5000
Re2 0.5000 0.5000 0.0000
Pb1 0.1462 0.6250 0.0212
Pb2 0.3750 0.3962 0.5212
Pb3 0.6038 0.1250 0.9788
Pb4 0.8750 0.8538 0.4788
# - size of the total moment (μB per formula unit) = 0.68
# - VASP energy (eV/f.u.) = -22.2
# - density of states at the Fermi level (states/eV/cell) = 6.89
# - calculated volume (Å³ per atom) = 27.5
# - ΔE_f (kJ/mol of formula units) = 249
# - crystal system = tetragonal

=====

Entry 6:
# TbSiO2, relaxed, DFT PBE
data_TbSiO2
_symmetry_space_group_name_H-M 'P 1'
_symmetry_Int_Tables_number 1
_symmetry_space_group_name_Hall 'P 1'
_cell_length_a 7.2790
_cell_length_b 7.2790
_cell_length_c 7.2790
_cell_angle_alpha 23.29
_cell_angle_beta 23.29
_cell_angle_gamma 23.29
loop_
_atom_site_label
_atom_site_fract_x
_atom_site_fract_y
_atom_site_fract_z
Tb1 0.0000 0.0000 0.0000
Si1 0.5000 0.5000 0.5000
O1 0.1253 0.1253 0.1253
O2 0.8747 0.8747 0.8747
# - size of the total moment (μB per formula unit) = 0.00
# - raw formation energy (eV/atom) = -1.30
# - VASP energy (eV/f.u.) = -25.2
# - density of states at the Fermi level (states/eV/cell) = 1.39
# - calculated volume (Å³ per atom) = 13.2
# - crystal system = trigonal

=====

Entry 7:
# Te2Se4I3, relaxed, DFT PBE
data_Te2Se4I3
_symmetry_space_group_name_H-M 'P 1'
_symmetry_Int_Tables_number 1
_symmetry_space_group_name_Hall 'P 1'
_cell_length_a 6.4141
_cell_length_b 6.5851
_cell_length_c 9.3383
_cell_angle_alpha 87.49
_cell_angle_beta 78.93
_cell_angle_gamma 65.03
loop_
_atom_site_label
_atom_site_fract_x
_atom_site_fract_y
_atom_site_fract_z
Te1 0.0741 0.3287 0.2521
Te2 0.9258 0.6713 0.7479
Se1 0.0060 0.2142 0.5902
Se2 0.0921 0.9360 0.1805
Se3 0.9079 0.0640 0.8195
Se4 0.9940 0.7858 0.4098
I1 0.3574 0.4216 0.8230
I2 0.5000 0.0000 0.5000
I3 0.6426 0.5784 0.1770
# - size of the total moment (μB per formula unit) = 0.00
# - raw formation energy (eV/atom) = 0.06
# - VASP energy (eV/f.u.) = -24.3
# - density of states at the Fermi level (states/eV/cell) = 4.48
# - calculated volume (Å³ per atom) = 39.0
# - crystal system = triclinic

=====

Entry 8:
# ZrRhSe2, relaxed, DFT PBE
data_ZrRhSe2
_symmetry_space_group_name_H-M 'P 1'
_symmetry_Int_Tables_number 1
_symmetry_space_group_name_Hall 'P 1'
_cell_length_a 3.6986
_cell_length_b 3.6213
_cell_length_c 6.4684
_cell_angle_alpha 90.00
_cell_angle_beta 93.13
_cell_angle_gamma 90.00
loop_
_atom_site_label
_atom_site_fract_x
_atom_site_fract_y
_atom_site_fract_z
Zr1 0.0000 0.0000 0.0000
Rh1 0.4023 0.5000 0.7834
Se1 0.0452 0.0000 0.5995
Se2 0.5083 0.5000 0.1707
# - size of the total moment (μB per formula unit) = 0.00
# - raw formation energy (eV/atom) = -0.82
# - VASP energy (eV/f.u.) = -26.1
# - density of states at the Fermi level (states/eV/cell) = 2.18
# - calculated volume (Å³ per atom) = 21.6
# - crystal system = monoclinic

=====

Entry 9:
# GdRh2Au, relaxed, DFT PBE
data_GdRh2Au
_symmetry_space_group_name_H-M 'P 1'
_symmetry_Int_Tables_number 1
_symmetry_space_group_name_Hall 'P 1'
_cell_length_a 4.2325
_cell_length_b 4.2325
_cell_length_c 3.9689
_cell_angle_alpha 90.00
_cell_angle_beta 90.00
_cell_angle_gamma 90.00
loop_
_atom_site_label
_atom_site_fract_x
_atom_site_fract_y
_atom_site_fract_z
Gd1 0.0000 0.0000 0.0000
Rh1 0.0000 0.5000 0.5000
Rh2 0.5000 0.0000 0.5000
Au1 0.5000 0.5000 0.0000
# - size of the total moment (μB per formula unit) = 6.89
# - VASP energy (eV/f.u.) = -34.2
# - density of states at the Fermi level (states/eV/cell) = 5.55
# - calculated volume (Å³ per atom) = 17.8
# - ΔE_f (kJ/mol of formula units) = -209
# - crystal system = tetragonal

=====

Entry 10:
# Tl2Ga2Au, relaxed, DFT PBE
data_Tl2Ga2Au
_symmetry_space_group_name_H-M 'P 1'
_symmetry_Int_Tables_number 1
_symmetry_space_group_name_Hall 'P 1'
_cell_length_a 7.9810
_cell_length_b 7.9810
_cell_length_c 3.9648
_cell_angle_alpha 90.00
_cell_angle_beta 90.00
_cell_angle_gamma 90.00
loop_
_atom_site_label
_atom_site_fract_x
_atom_site_fract_y
_atom_site_fract_z
Tl1 0.1779 0.3221 0.0000
Tl2 0.3221 0.8221 0.0000
Tl3 0.6779 0.1779 0.0000
Tl4 0.8221 0.6779 0.0000
Ga1 0.1241 0.6241 0.5000
Ga2 0.3759 0.1241 0.5000
Ga3 0.6241 0.8759 0.5000
Ga4 0.8759 0.3759 0.5000
Au1 0.0000 0.0000 0.0000
Au2 0.5000 0.5000 0.0000
# - size of the total moment (μB per formula unit) = 0.00
# - VASP energy (eV/f.u.) = -13.1
# - density of states at the Fermi level (states/eV/cell) = 3.28
# - calculated volume (Å³ per atom) = 25.3
# - ΔE_f (kJ/mol of formula units) = 90
# - crystal system = tetragonal

=====

Entry 11:
# Zr14ScTa, relaxed, DFT PBE
data_Zr14ScTa
_symmetry_space_group_name_H-M 'P 1'
_symmetry_Int_Tables_number 1
_symmetry_space_group_name_Hall 'P 1'
_cell_length_a 9.6552
_cell_length_b 6.2385
_cell_length_c 6.2385
_cell_angle_alpha 78.19
_cell_angle_beta 90.00
_cell_angle_gamma 90.00
loop_
_atom_site_label
_atom_site_fract_x
_atom_site_fract_y
_atom_site_fract_z
Zr1 0.0000 0.0000 0.0000
Zr2 0.0000 0.4495 0.4495
Zr3 0.0000 0.5072 0.9325
Zr4 0.0000 0.9325 0.5072
Zr5 0.2341 0.2116 0.2116
Zr6 0.2552 0.1584 0.7221
Zr7 0.2552 0.7221 0.1584
Zr8 0.2680 0.6699 0.6699
Zr9 0.5000 0.3772 0.9436
Zr10 0.5000 0.9436 0.3772
Zr11 0.7320 0.6699 0.6699
Zr12 0.7448 0.1584 0.7221
Zr13 0.7448 0.7221 0.1584
Zr14 0.7659 0.2116 0.2116
Sc1 0.5000 0.4326 0.4326
Ta1 0.5000 0.8802 0.8802
# - size of the total moment (μB per formula unit) = 0.00
# - VASP energy (eV/f.u.) = -136.9
# - density of states at the Fermi level (states/eV/cell) = 22.48
# - calculated volume (Å³ per atom) = 23.0
# - ΔE_f (kJ/mol of formula units) = 89
# - crystal system = orthorhombic

=====

Entry 12:
# La12MgCd3, relaxed, DFT PBE
data_La12MgCd3
_symmetry_space_group_name_H-M 'P 1'
_symmetry_Int_Tables_number 1
_symmetry_space_group_name_Hall 'P 1'
_cell_length_a 5.0861
_cell_length_b 5.0861
_cell_length_c 20.3297
_cell_angle_alpha 90.00
_cell_angle_beta 90.00
_cell_angle_gamma 90.00
loop_
_atom_site_label
_atom_site_fract_x
_atom_site_fract_y
_atom_site_fract_z
La1 0.0000 0.0000 0.0000
La2 0.0000 0.0000 0.2490
La3 0.0000 0.0000 0.5000
La4 0.0000 0.0000 0.7510
La5 0.0000 0.5000 0.1242
La6 0.0000 0.5000 0.3733
La7 0.0000 0.5000 0.6267
La8 0.0000 0.5000 0.8758
La9 0.5000 0.0000 0.1242
La10 0.5000 0.0000 0.3733
La11 0.5000 0.0000 0.6267
La12 0.5000 0.0000 0.8758
Mg1 0.5000 0.5000 0.5000
Cd1 0.5000 0.5000 0.0000
Cd2 0.5000 0.5000 0.2486
Cd3 0.5000 0.5000 0.7514
# - size of the total moment (μB per formula unit) = 0.00
# - VASP energy (eV/f.u.) = -65.2
# - density of states at the Fermi level (states/eV/cell) = 24.26
# - calculated volume (Å³ per atom) = 32.9
# - ΔE_f (kJ/mol of formula units) = -162
# - crystal system = tetragonal